Version A
# PBE-GGA Ru2CI, optimized geometry
data_Ru2CI
_space_group_name_H-M_alt 'I -4 2 d'
_space_group_IT_number 122
_space_group_name_Hall 'I -4 2bw'
_cell_length_a 5.1352
_cell_length_b 5.1352
_cell_length_c 10.6119
_cell_angle_alpha 90.00
_cell_angle_beta 90.00
_cell_angle_gamma 90.00
loop_
_atom_site_label
_atom_site_type_symbol
_atom_site_fract_x
_atom_site_fract_y
_atom_site_fract_z
_atom_site_occupancy
Ru1 Ru 0.1423 0.2500 0.1250 1
C1 C 0.0000 0.0000 0.0000 1
I1 I 0.0000 0.0000 0.5000 1
# DOS at the Fermi energy: 5.0 states/eV per cell
# Size of the total moment: 0.00 μB/cell

Version B
# PBE-GGA Ru2CI, optimized geometry
data_Ru2CI
_space_group_name_H-M_alt 'F m -3 m'
_space_group_IT_number 225
_space_group_name_Hall '-F 4 2 3'
_cell_length_a 6.1318
_cell_length_b 6.1318
_cell_length_c 6.1318
_cell_angle_alpha 90.00
_cell_angle_beta 90.00
_cell_angle_gamma 90.00
loop_
_atom_site_label
_atom_site_type_symbol
_atom_site_fract_x
_atom_site_fract_y
_atom_site_fract_z
_atom_site_occupancy
Ru1 Ru 0.2500 0.2500 0.2500 1
C1 C 0.0000 0.0000 0.0000 1
I1 I 0.0000 0.0000 0.5000 1
# DOS at the Fermi energy: 21.0 states/eV per cell
# Size of the total moment: 0.00 μB/cell

Of them, version B has the lowest stability.

Version A
# PBE-GGA Ru3CI, optimized geometry
data_Ru3CI
_space_group_name_H-M_alt 'P m -3 m'
_space_group_IT_number 221
_space_group_name_Hall '-P 4 2 3'
_cell_length_a 4.8470
_cell_length_b 4.8470
_cell_length_c 4.8470
_cell_angle_alpha 90.00
_cell_angle_beta 90.00
_cell_angle_gamma 90.00
loop_
_atom_site_label
_atom_site_type_symbol
_atom_site_fract_x
_atom_site_fract_y
_atom_site_fract_z
_atom_site_occupancy
Ru1 Ru 0.0000 0.0000 0.5000 1
C1 C 0.5000 0.5000 0.5000 1
I1 I 0.0000 0.0000 0.0000 1
# DOS at the Fermi energy: 6.3 states/eV per cell
# Size of the total moment: 3.81 μB/cell

Version B
# PBE-GGA Ru3CI, optimized geometry
data_Ru3CI
_space_group_name_H-M_alt 'P m -3 m'
_space_group_IT_number 221
_space_group_name_Hall '-P 4 2 3'
_cell_length_a 4.1734
_cell_length_b 4.1734
_cell_length_c 4.1734
_cell_angle_alpha 90.00
_cell_angle_beta 90.00
_cell_angle_gamma 90.00
loop_
_atom_site_label
_atom_site_type_symbol
_atom_site_fract_x
_atom_site_fract_y
_atom_site_fract_z
_atom_site_occupancy
Ru1 Ru 0.0000 0.0000 0.5000 1
C1 C 0.0000 0.0000 0.0000 1
I1 I 0.5000 0.5000 0.5000 1
# DOS at the Fermi energy: 7.4 states/eV per cell
# Size of the total moment: 0.00 μB/cell

Of them, version A has the lowest stability.

Version A
# PBE-GGA RuC3I, optimized geometry
data_RuC3I
_space_group_name_H-M_alt 'P m -3 m'
_space_group_IT_number 221
_space_group_name_Hall '-P 4 2 3'
_cell_length_a 4.0592
_cell_length_b 4.0592
_cell_length_c 4.0592
_cell_angle_alpha 90.00
_cell_angle_beta 90.00
_cell_angle_gamma 90.00
loop_
_atom_site_label
_atom_site_type_symbol
_atom_site_fract_x
_atom_site_fract_y
_atom_site_fract_z
_atom_site_occupancy
Ru1 Ru 0.0000 0.0000 0.0000 1
C1 C 0.0000 0.5000 0.5000 1
I1 I 0.5000 0.5000 0.5000 1
# DOS at the Fermi energy: 5.4 states/eV per cell
# Size of the total moment: 0.99 μB/cell

Version B
# PBE-GGA RuC3I, optimized geometry
data_RuC3I
_space_group_name_H-M_alt 'P m -3 m'
_space_group_IT_number 221
_space_group_name_Hall '-P 4 2 3'
_cell_length_a 4.1099
_cell_length_b 4.1099
_cell_length_c 4.1099
_cell_angle_alpha 90.00
_cell_angle_beta 90.00
_cell_angle_gamma 90.00
loop_
_atom_site_label
_atom_site_type_symbol
_atom_site_fract_x
_atom_site_fract_y
_atom_site_fract_z
_atom_site_occupancy
Ru1 Ru 0.0000 0.0000 0.0000 1
C1 C 0.0000 0.0000 0.5000 1
I1 I 0.5000 0.5000 0.5000 1
# DOS at the Fermi energy: 2.8 states/eV per cell
# Size of the total moment: 0.00 μB/cell

Of them, version A has the lowest stability.

Version A
# PBE-GGA RuCI2, optimized geometry
data_RuCI2
_space_group_name_H-M_alt 'I -4 2 d'
_space_group_IT_number 122
_space_group_name_Hall 'I -4 2bw'
_cell_length_a 5.7050
_cell_length_b 5.7050
_cell_length_c 11.9749
_cell_angle_alpha 90.00
_cell_angle_beta 90.00
_cell_angle_gamma 90.00
loop_
_atom_site_label
_atom_site_type_symbol
_atom_site_fract_x
_atom_site_fract_y
_atom_site_fract_z
_atom_site_occupancy
Ru1 Ru 0.0000 0.0000 0.0000 1
C1 C 0.0000 0.0000 0.5000 1
I1 I 0.2344 0.2500 0.6250 1
# DOS at the Fermi energy: 8.8 states/eV per cell
# Size of the total moment: 0.00 μB/cell

Version B
# PBE-GGA RuCI2, optimized geometry
data_RuCI2
_space_group_name_H-M_alt 'F m -3 m'
_space_group_IT_number 225
_space_group_name_Hall '-F 4 2 3'
_cell_length_a 6.6952
_cell_length_b 6.6952
_cell_length_c 6.6952
_cell_angle_alpha 90.00
_cell_angle_beta 90.00
_cell_angle_gamma 90.00
loop_
_atom_site_label
_atom_site_type_symbol
_atom_site_fract_x
_atom_site_fract_y
_atom_site_fract_z
_atom_site_occupancy
Ru1 Ru 0.0000 0.0000 0.0000 1
C1 C 0.0000 0.0000 0.5000 1
I1 I 0.2500 0.2500 0.2500 1
# DOS at the Fermi energy: 16.0 states/eV per cell
# Size of the total moment: 0.00 μB/cell

Of them, version B has the lowest stability.